# 1
This record from Alexandria describes a geometry-optimized BaAgF2 structure. The functional is PBE.

Results
DOS at the Fermi energy, states/eV/atom: 0.4061
Relative energy among the computed polymorphs, kJ/mol of atoms: 66.8

a b c (Å): 4.2319 4.2319 19.9166
angles (deg): 90.00 90.00 120.00
With the nearest neighbours (Å) after each atom.
Space group R-3m (No. 166, hexagonal axes)
One atom of each set of equivalent atoms:
Ba: 0.0000 0.0000 0.0000 [3 per cell]  2 F 2.44
Ag: 0.0000 0.0000 0.5000 [3 per cell]  6 F 2.60
F: 0.0000 0.0000 0.1223 [6 per cell]  1 Ba 2.44, 3 Ag 2.60

---

# 2
This record from Alexandria describes a geometry-optimized BaAgF2 structure. The functional is PBE.

Results
DOS at the Fermi energy, states/eV/atom: 0.5007
Relative energy among the computed polymorphs, kJ/mol of atoms: 21.5

a b c (Å): 6.7636 6.7636 6.7636
angles (deg): 90.00 90.00 90.00
With the nearest neighbours (Å) after each atom.
Space group Fm-3m (No. 225)
One atom of each set of equivalent atoms:
Ba: 0.0000 0.0000 0.0000 [4 per cell]  8 F 2.93
Ag: 0.0000 0.0000 0.5000 [4 per cell]  8 F 2.93
F: 0.2500 0.2500 0.2500 [8 per cell]  4 Ba 2.93, 4 Ag 2.93

---

# 3
This record from Alexandria describes a geometry-optimized BaAg3F8 structure. The functional is PBE.

Results
DOS at the Fermi energy, states/eV/atom: 0.4486
Energy, eV for the cell shown: -44.99

a b c (Å): 5.6142 5.6142 7.1818
angles (deg): 90.00 90.00 120.00
With the nearest neighbours (Å) after each atom.
Space group P-3 (No. 147)
One atom of each set of equivalent atoms:
Ba: 0.0000 0.0000 0.0000 [1 per cell]  6 F 2.87
Ag: 0.0000 0.0000 0.5000 [1 per cell]  6 F 2.12
Ag: 0.3333 0.6667 0.6405 [2 per cell]  4 F 2.12-2.35
F: 0.0828 0.3349 0.3227 [6 per cell]  2 Ag 2.12-2.35
F: 0.3333 0.6667 0.9363 [2 per cell]  1 Ag 2.12